Record 1
# NaSrPd PBE relaxed
data_NaSrPd
_cell_length_a 3.813
_cell_length_b 3.813
_cell_length_c 6.692
_cell_angle_alpha 106.55
_cell_angle_beta 106.55
_cell_angle_gamma 90.00
_space_group_name_H-M_alt 'P 1'
_space_group_IT_number 1
loop_
_space_group_symop_operation_xyz
'x,y,z'
loop_
_atom_site_label
_atom_site_type_symbol
_atom_site_fract_x
_atom_site_fract_y
_atom_site_fract_z
_atom_site_occupancy
Pd1 Pd 0.287 0.287 0.573 1
Sr1 Sr 0.914 0.914 0.827 1
Na1 Na 0.650 0.650 0.299 1
# **Distance to the lowest polymorph of the same formula**: 0.173 eV per atom
# **Total magnetic moment**: 0.00 μB per cell
# **E_form**: -0.207 eV/atom
# **Density of states at the Fermi level**: 1.1 states/eV per cell

***

Record 2
# Pm3Nd6Y PBE relaxed
data_Pm3Nd6Y
_cell_length_a 7.172
_cell_length_b 12.865
_cell_length_c 10.108
_cell_angle_alpha 148.49
_cell_angle_beta 110.78
_cell_angle_gamma 90.00
_space_group_name_H-M_alt 'P 1'
_space_group_IT_number 1
loop_
_space_group_symop_operation_xyz
'x,y,z'
loop_
_atom_site_label
_atom_site_type_symbol
_atom_site_fract_x
_atom_site_fract_y
_atom_site_fract_z
_atom_site_occupancy
Nd1 Nd 0.672 0.702 0.893 1
Nd2 Nd 0.328 0.298 0.107 1
Nd3 Nd 0.832 0.172 0.665 1
Nd4 Nd 0.221 0.702 0.893 1
Nd5 Nd 0.779 0.298 0.107 1
Nd6 Nd 0.168 0.828 0.335 1
Pm1 Pm 0.303 0.762 0.606 1
Pm2 Pm 0.697 0.238 0.394 1
Pm3 Pm 0.000 0.000 0.000 1
Y1 Y 0.500 0.500 0.000 1
# **Distance to the lowest polymorph of the same formula**: 0.121 eV per atom
# **Total magnetic moment**: 0.00 μB per cell
# **E_form**: 0.256 eV/atom
# **Density of states at the Fermi level**: 16.3 states/eV per cell

***

Record 3
# CeNdIn4 PBE relaxed
data_CeNdIn4
_cell_length_a 4.687
_cell_length_b 8.000
_cell_length_c 10.088
_cell_angle_alpha 90.00
_cell_angle_beta 103.43
_cell_angle_gamma 90.00
_space_group_name_H-M_alt 'P 1'
_space_group_IT_number 1
loop_
_space_group_symop_operation_xyz
'x,y,z'
loop_
_atom_site_label
_atom_site_type_symbol
_atom_site_fract_x
_atom_site_fract_y
_atom_site_fract_z
_atom_site_occupancy
In1 In 0.462 0.250 0.924 1
In2 In 0.233 0.081 0.467 1
In3 In 0.538 0.750 0.076 1
In4 In 0.000 0.500 0.000 1
In5 In 0.000 0.000 0.000 1
In6 In 0.233 0.419 0.467 1
In7 In 0.767 0.919 0.533 1
In8 In 0.767 0.581 0.533 1
Ce1 Ce 0.372 0.750 0.743 1
Ce2 Ce 0.628 0.250 0.257 1
Nd1 Nd 0.145 0.750 0.290 1
Nd2 Nd 0.855 0.250 0.710 1
# **Distance to the lowest polymorph of the same formula**: 0.225 eV per atom
# **Total magnetic moment**: 2.35 μB per cell
# **E_form**: -0.182 eV/atom
# **Density of states at the Fermi level**: 21.4 states/eV per cell

***

Record 4
# La3Sm2Sn3 PBE relaxed
data_La3Sm2Sn3
_cell_length_a 6.820
_cell_length_b 9.418
_cell_length_c 9.418
_cell_angle_alpha 120.00
_cell_angle_beta 90.00
_cell_angle_gamma 90.00
_space_group_name_H-M_alt 'P 1'
_space_group_IT_number 1
loop_
_space_group_symop_operation_xyz
'x,y,z'
loop_
_atom_site_label
_atom_site_type_symbol
_atom_site_fract_x
_atom_site_fract_y
_atom_site_fract_z
_atom_site_occupancy
Sn1 Sn 0.250 0.605 0.605 1
Sn2 Sn 0.750 0.000 0.605 1
Sn3 Sn 0.250 0.395 0.000 1
Sn4 Sn 0.250 0.000 0.395 1
Sn5 Sn 0.750 0.395 0.395 1
Sn6 Sn 0.750 0.605 0.000 1
Sm1 Sm 0.500 0.667 0.333 1
Sm2 Sm 0.000 0.667 0.333 1
Sm3 Sm 0.000 0.333 0.667 1
Sm4 Sm 0.500 0.333 0.667 1
La1 La 0.250 0.248 0.248 1
La2 La 0.250 0.752 0.000 1
La3 La 0.750 0.752 0.752 1
La4 La 0.750 0.000 0.248 1
La5 La 0.750 0.248 0.000 1
La6 La 0.250 0.000 0.752 1
# **Total magnetic moment**: 1.42 μB per cell
# **E_form**: -0.706 eV/atom
# **Density of states at the Fermi level**: 16.9 states/eV per cell

***

Record 5
# Al2RuRh2 PBE relaxed
data_Al2RuRh2
_cell_length_a 7.059
_cell_length_b 7.059
_cell_length_c 2.827
_cell_angle_alpha 90.00
_cell_angle_beta 90.00
_cell_angle_gamma 90.00
_space_group_name_H-M_alt 'P 1'
_space_group_IT_number 1
loop_
_space_group_symop_operation_xyz
'x,y,z'
loop_
_atom_site_label
_atom_site_type_symbol
_atom_site_fract_x
_atom_site_fract_y
_atom_site_fract_z
_atom_site_occupancy
Al1 Al 0.359 0.859 0.000 1
Al2 Al 0.641 0.141 0.000 1
Al3 Al 0.859 0.641 0.000 1
Al4 Al 0.141 0.359 0.000 1
Rh1 Rh 0.841 0.341 0.500 1
Rh2 Rh 0.159 0.659 0.500 1
Rh3 Rh 0.659 0.841 0.500 1
Rh4 Rh 0.341 0.159 0.500 1
Ru1 Ru 0.500 0.500 0.000 1
Ru2 Ru 0.000 0.000 0.000 1
# **Total magnetic moment**: 0.00 μB per cell
# **E_form**: -0.548 eV/atom
# **Density of states at the Fermi level**: 7.3 states/eV per cell

***

Record 6
# LaTb3Th2 PBE relaxed
data_LaTb3Th2
_cell_length_a 7.590
_cell_length_b 7.590
_cell_length_c 7.590
_cell_angle_alpha 102.12
_cell_angle_beta 102.12
_cell_angle_gamma 102.12
_space_group_name_H-M_alt 'P 1'
_space_group_IT_number 1
loop_
_space_group_symop_operation_xyz
'x,y,z'
loop_
_atom_site_label
_atom_site_type_symbol
_atom_site_fract_x
_atom_site_fract_y
_atom_site_fract_z
_atom_site_occupancy
Tb1 Tb 0.837 0.336 0.837 1
Tb2 Tb 0.837 0.837 0.336 1
Tb3 Tb 0.664 0.163 0.163 1
Tb4 Tb 0.163 0.163 0.664 1
Tb5 Tb 0.163 0.664 0.163 1
Tb6 Tb 0.336 0.837 0.837 1
Th1 Th 0.500 0.500 0.000 1
Th2 Th 0.500 0.000 0.500 1
Th3 Th 0.000 0.500 0.500 1
Th4 Th 0.000 0.000 0.000 1
La1 La 0.665 0.665 0.665 1
La2 La 0.335 0.335 0.335 1
# **Distance to the lowest polymorph of the same formula**: 0.412 eV per atom
# **Total magnetic moment**: 0.00 μB per cell
# **E_form**: 0.449 eV/atom
# **Density of states at the Fermi level**: 23.9 states/eV per cell